[1]
# CaTa3Ti | Alexandria via LeMat-Bulk | SCAN | PBEsol geometry
data_CaTa3Ti
_cell_length_a 4.645
_cell_length_b 4.645
_cell_length_c 4.645
_cell_angle_alpha 90.00
_cell_angle_beta 90.00
_cell_angle_gamma 90.00
_space_group_name_H-M_alt 'P m -3 m'
_space_group_IT_number 221
_space_group_name_Hall '-P 4 2 3'
loop_
_atom_site_label
_atom_site_type_symbol
_atom_site_fract_x
_atom_site_fract_y
_atom_site_fract_z
_atom_site_occupancy
Ca1 Ca 0.000 0.000 0.000 1
Ta1 Ta 0.000 0.000 0.500 1
Ti1 Ti 0.500 0.500 0.500 1
# * energy: -42.539 eV/atom
# * crystal system: cubic
# * energy of formation: 2550 meV/atom


[2]
# EuCo2Ge2 | Alexandria via LeMat-Bulk | SCAN | PBEsol geometry
data_EuCo2Ge2
_cell_length_a 3.933
_cell_length_b 3.933
_cell_length_c 10.311
_cell_angle_alpha 90.00
_cell_angle_beta 90.00
_cell_angle_gamma 90.00
_space_group_name_H-M_alt 'I 4/m m m'
_space_group_IT_number 139
_space_group_name_Hall '-I 4 2'
loop_
_atom_site_label
_atom_site_type_symbol
_atom_site_fract_x
_atom_site_fract_y
_atom_site_fract_z
_atom_site_occupancy
Eu1 Eu 0.000 0.000 0.000 1
Co1 Co 0.000 0.500 0.250 1
Ge1 Ge 0.000 0.000 0.368 1
# * energy: -25.778 eV/atom
# * crystal system: tetragonal
# * energy of formation: -479 meV/atom


[3]
# Sc2H6Se3O12 | Alexandria via LeMat-Bulk | SCAN | PBEsol geometry
data_Sc2H6Se3O12
_cell_length_a 9.6017
_cell_length_b 9.6017
_cell_length_c 20.4877
_cell_angle_alpha 90.00
_cell_angle_beta 90.00
_cell_angle_gamma 120.00
_space_group_name_H-M_alt 'R 3 c'
_space_group_IT_number 161
_space_group_name_Hall 'R 3 -2"c'
loop_
_atom_site_label
_atom_site_type_symbol
_atom_site_fract_x
_atom_site_fract_y
_atom_site_fract_z
_atom_site_occupancy
Sc1 Sc 0.0000 0.0000 0.0000 1
Sc2 Sc 0.0000 0.0000 0.2428 1
H1 H 0.1167 0.3581 0.4655 1
H2 H 0.2040 0.0806 0.3528 1
Se1 Se 0.0586 0.5067 0.2883 1
O1 O 0.0261 0.1848 0.0591 1
O2 O 0.0371 0.1941 0.1880 1
O3 O 0.1685 0.4603 0.1128 1
O4 O 0.1987 0.0737 0.8098 1
# * energy: -9.634 eV/atom
# * crystal system: trigonal


[4]
# CoCuTc | Alexandria via LeMat-Bulk | SCAN | PBEsol geometry
data_CoCuTc
_cell_length_a 5.421
_cell_length_b 5.421
_cell_length_c 5.421
_cell_angle_alpha 90.00
_cell_angle_beta 90.00
_cell_angle_gamma 90.00
_space_group_name_H-M_alt 'F -4 3 m'
_space_group_IT_number 216
_space_group_name_Hall 'F -4 2 3'
loop_
_atom_site_label
_atom_site_type_symbol
_atom_site_fract_x
_atom_site_fract_y
_atom_site_fract_z
_atom_site_occupancy
Co1 Co 0.000 0.000 0.000 1
Cu1 Cu 0.250 0.250 0.750 1
Tc1 Tc 0.250 0.250 0.250 1
# * energy: -21.963 eV/atom
# * crystal system: cubic
# * energy of formation: 558 meV/atom


[5]
# TbAgW2O8 | Alexandria via LeMat-Bulk | SCAN | PBEsol geometry
data_TbAgW2O8
_cell_length_a 9.907
_cell_length_b 10.726
_cell_length_c 7.174
_cell_angle_alpha 90.00
_cell_angle_beta 127.42
_cell_angle_gamma 90.00
_space_group_name_H-M_alt 'C 1 2/m 1'
_space_group_IT_number 12
_space_group_name_Hall '-C 2y'
loop_
_atom_site_label
_atom_site_type_symbol
_atom_site_fract_x
_atom_site_fract_y
_atom_site_fract_z
_atom_site_occupancy
Tb1 Tb 0.000 0.194 0.000 1
Ag1 Ag 0.187 0.000 0.519 1
W1 W 0.000 0.335 0.500 1
W2 W 0.210 0.500 0.975 1
O1 O 0.023 0.500 0.338 1
O2 O 0.050 0.234 0.353 1
O3 O 0.055 0.000 0.859 1
O4 O 0.171 0.369 0.092 1
O5 O 0.227 0.376 0.759 1
# * energy: -24.709 eV/atom
# * crystal system: monoclinic
# * formation energy (no corrections): -2.430 eV per atom


[6]
# YSbNO2 | Alexandria via LeMat-Bulk | SCAN | PBEsol geometry
data_YSbNO2
_cell_length_a 4.220
_cell_length_b 4.220
_cell_length_c 4.365
_cell_angle_alpha 90.00
_cell_angle_beta 90.00
_cell_angle_gamma 90.00
_space_group_name_H-M_alt 'P 4/m m m'
_space_group_IT_number 123
_space_group_name_Hall '-P 4 2'
loop_
_atom_site_label
_atom_site_type_symbol
_atom_site_fract_x
_atom_site_fract_y
_atom_site_fract_z
_atom_site_occupancy
Y1 Y 0.000 0.000 0.000 1
Sb1 Sb 0.500 0.500 0.500 1
N1 N 0.000 0.000 0.500 1
O1 O 0.000 0.500 0.000 1
# * energy: -18.070 eV/atom
# * crystal system: tetragonal
# * formation energy (no corrections): -0.698 eV per atom


[7]
# RbTcAg2Au | Alexandria via LeMat-Bulk | SCAN | PBEsol geometry
data_RbTcAg2Au
_cell_length_a 5.152
_cell_length_b 5.152
_cell_length_c 4.958
_cell_angle_alpha 90.00
_cell_angle_beta 90.00
_cell_angle_gamma 90.00
_space_group_name_H-M_alt 'P 4/m m m'
_space_group_IT_number 123
_space_group_name_Hall '-P 4 2'
loop_
_atom_site_label
_atom_site_type_symbol
_atom_site_fract_x
_atom_site_fract_y
_atom_site_fract_z
_atom_site_occupancy
Rb1 Rb 0.000 0.000 0.000 1
Tc1 Tc 0.500 0.500 0.500 1
Ag1 Ag 0.000 0.500 0.500 1
Au1 Au 0.500 0.500 0.000 1
# * energy: -36.782 eV/atom
# * crystal system: tetragonal
# * energy of formation: 756 meV/atom


[8]
# ReP2PdS | Alexandria via LeMat-Bulk | SCAN | PBEsol geometry
data_ReP2PdS
_cell_length_a 4.592
_cell_length_b 4.592
_cell_length_c 4.492
_cell_angle_alpha 90.00
_cell_angle_beta 90.00
_cell_angle_gamma 90.00
_space_group_name_H-M_alt 'P 4/m m m'
_space_group_IT_number 123
_space_group_name_Hall '-P 4 2'
loop_
_atom_site_label
_atom_site_type_symbol
_atom_site_fract_x
_atom_site_fract_y
_atom_site_fract_z
_atom_site_occupancy
Re1 Re 0.000 0.000 0.000 1
P1 P 0.000 0.500 0.000 1
Pd1 Pd 0.500 0.500 0.500 1
S1 S 0.000 0.000 0.500 1
# * energy: -26.082 eV/atom
# * crystal system: tetragonal
# * formation energy (no corrections): 0.777 eV per atom


[9]
# Sc2PtW | Alexandria via LeMat-Bulk | SCAN | PBEsol geometry
data_Sc2PtW
_cell_length_a 6.465
_cell_length_b 6.465
_cell_length_c 6.465
_cell_angle_alpha 90.00
_cell_angle_beta 90.00
_cell_angle_gamma 90.00
_space_group_name_H-M_alt 'F -4 3 m'
_space_group_IT_number 216
_space_group_name_Hall 'F -4 2 3'
loop_
_atom_site_label
_atom_site_type_symbol
_atom_site_fract_x
_atom_site_fract_y
_atom_site_fract_z
_atom_site_occupancy
Sc1 Sc 0.000 0.000 0.000 1
Sc2 Sc 0.250 0.250 0.250 1
Pt1 Pt 0.000 0.000 0.500 1
W1 W 0.250 0.250 0.750 1
# * energy: -42.240 eV/atom
# * crystal system: cubic
# * energy of formation: -151 meV/atom


[10]
# CaAl3Pt | Alexandria via LeMat-Bulk | SCAN | PBEsol geometry
data_CaAl3Pt
_cell_length_a 4.782
_cell_length_b 4.782
_cell_length_c 4.782
_cell_angle_alpha 90.00
_cell_angle_beta 90.00
_cell_angle_gamma 90.00
_space_group_name_H-M_alt 'P m -3 m'
_space_group_IT_number 221
_space_group_name_Hall '-P 4 2 3'
loop_
_atom_site_label
_atom_site_type_symbol
_atom_site_fract_x
_atom_site_fract_y
_atom_site_fract_z
_atom_site_occupancy
Ca1 Ca 0.000 0.000 0.000 1
Al1 Al 0.000 0.500 0.500 1
Pt1 Pt 0.500 0.500 0.500 1
# * energy: -21.130 eV/atom
# * crystal system: cubic
# * energy of formation: -507 meV/atom


[11]
# TlIn3Rh | Alexandria via LeMat-Bulk | SCAN | PBEsol geometry
data_TlIn3Rh
_cell_length_a 5.082
_cell_length_b 5.082
_cell_length_c 5.082
_cell_angle_alpha 90.00
_cell_angle_beta 90.00
_cell_angle_gamma 90.00
_space_group_name_H-M_alt 'P m -3 m'
_space_group_IT_number 221
_space_group_name_Hall '-P 4 2 3'
loop_
_atom_site_label
_atom_site_type_symbol
_atom_site_fract_x
_atom_site_fract_y
_atom_site_fract_z
_atom_site_occupancy
Tl1 Tl 0.000 0.000 0.000 1
In1 In 0.000 0.500 0.500 1
Rh1 Rh 0.500 0.500 0.500 1
# * energy: -41.439 eV/atom
# * crystal system: cubic
# * energy of formation: -181 meV/atom


[12]
# ScMnOs2 | Alexandria via LeMat-Bulk | SCAN | PBEsol geometry
data_ScMnOs2
_cell_length_a 9.882
_cell_length_b 3.040
_cell_length_c 4.326
_cell_angle_alpha 90.00
_cell_angle_beta 115.91
_cell_angle_gamma 90.00
_space_group_name_H-M_alt 'C 1 m 1'
_space_group_IT_number 8
_space_group_name_Hall 'C -2y'
loop_
_atom_site_label
_atom_site_type_symbol
_atom_site_fract_x
_atom_site_fract_y
_atom_site_fract_z
_atom_site_occupancy
Sc1 Sc 0.000 0.000 0.000 1
Mn1 Mn 0.260 0.500 0.262 1
Os1 Os 0.241 0.000 0.742 1
Os2 Os 0.498 0.000 0.498 1
# * energy: -44.275 eV/atom
# * crystal system: monoclinic
# * energy of formation: -212 meV/atom


[13]
# SrLiMn4 | Alexandria via LeMat-Bulk | SCAN | PBEsol geometry
data_SrLiMn4
_cell_length_a 7.580
_cell_length_b 7.580
_cell_length_c 7.580
_cell_angle_alpha 90.00
_cell_angle_beta 90.00
_cell_angle_gamma 90.00
_space_group_name_H-M_alt 'F -4 3 m'
_space_group_IT_number 216
_space_group_name_Hall 'F -4 2 3'
loop_
_atom_site_label
_atom_site_type_symbol
_atom_site_fract_x
_atom_site_fract_y
_atom_site_fract_z
_atom_site_occupancy
Sr1 Sr 0.000 0.000 0.000 1
Li1 Li 0.250 0.250 0.250 1
Mn1 Mn 0.123 0.123 0.623 1
# * energy: -15.971 eV/atom
# * crystal system: cubic
# * energy of formation: 310 meV/atom